No. 1
A plane-wave DFT calculation with GGA-PBE was carried out for a relaxed structure of DySc.

The value obtained for the energy relative to the lowest polymorph listed for this composition is 11.8 meV per atom. As for the formation energy: 0.048 eV per atom.

The structure belongs to space group Cmmm (No. 65); the cell edges are 7.6464, 8.2906 and 3.5287 Å and the angles 90.00°, 90.00° and 90.00°. The distinct sites, in fractional coordinates, are Dy at (0.0000, 0.2134, 0.0000) and Sc at (0.2058, 0.5000, 0.5000).

No. 2
A plane-wave DFT calculation with GGA-PBE was carried out for a relaxed structure of InCu2Os.

As for the formation energy: 0.438 eV per atom.

The structure belongs to space group R3m (No. 160, hexagonal axes); the cell edges are 2.8381, 2.8381 and 26.0930 Å and the angles 90.00°, 90.00° and 120.00°. The distinct sites, in fractional coordinates, are In at (0.0000, 0.0000, 0.0000), Cu at (0.0000, 0.0000, 0.2443), Cu at (0.0000, 0.0000, 0.5030) and Os at (0.0000, 0.0000, 0.7569).

No. 3
A plane-wave DFT calculation with GGA-PBE was carried out for a relaxed structure of Rb4PmPr3Te8.

The uncorrected formation energy is -1410 meV per atom.

The structure belongs to space group R-3m (No. 166, hexagonal axes); the cell edges are 9.3325, 9.3325 and 25.7325 Å and the angles 90.00°, 90.00° and 120.00°. The distinct sites, in fractional coordinates, are Rb at (0.0000, 0.0000, 0.0000), Rb at (0.0000, 0.5000, 0.0000), Pm at (0.0000, 0.0000, 0.5000), Pr at (0.0000, 0.5000, 0.5000), Te at (0.0000, 0.0000, 0.2356) and Te at (0.0030, 0.5015, 0.2351).

No. 4
A plane-wave DFT calculation with GGA-PBE was carried out for a relaxed structure of CeNiPt2.

As for the formation energy: -0.421 eV per atom.

The structure belongs to space group I-4m2 (No. 119); the cell edges are 3.8192, 3.8192 and 11.3058 Å and the angles 90.00°, 90.00° and 90.00°. The distinct sites, in fractional coordinates, are Ce at (0.0000, 0.0000, 0.0000), Ni at (0.0000, 0.5000, 0.7500) and Pt at (0.0000, 0.0000, 0.3817).

No. 5
A plane-wave DFT calculation with GGA-PBE was carried out for a relaxed structure of TbPm3SmY.

As for the formation energy: 0.016 eV per atom.

The structure belongs to space group P2_1/m (No. 11); the cell edges are 8.0901, 5.1260 and 10.2236 Å and the angles 90.00°, 108.45° and 90.00°. The distinct sites, in fractional coordinates, are Tb at (0.0002, 0.2500, 0.1233), Pm at (0.3321, 0.2500, 0.9585), Pm at (0.3319, 0.7500, 0.7088), Pm at (0.3336, 0.2500, 0.4578), Sm at (0.0012, 0.7500, 0.3738) and Y at (0.3315, 0.7500, 0.2070).

No. 6
A plane-wave DFT calculation with GGA-PBE was carried out for a relaxed structure of NdY3Ru.

The value obtained for the energy relative to the lowest polymorph listed for this composition is 103.8 meV per atom. As for the formation energy: -0.078 eV per atom.

The structure belongs to space group Pm-3m (No. 221); the cell edges are 5.4278, 5.4278 and 5.4278 Å and the angles 90.00°, 90.00° and 90.00°. The distinct sites, in fractional coordinates, are Nd at (0.0000, 0.0000, 0.0000), Y at (0.0000, 0.5000, 0.5000) and Ru at (0.5000, 0.5000, 0.5000).

No. 7
A plane-wave DFT calculation with GGA-PBE was carried out for a relaxed structure of LaGaI2O.

The value obtained for the energy relative to the lowest polymorph listed for this composition is 572.3 meV per atom. The uncorrected formation energy is -855 meV per atom.

The structure belongs to space group P4/mmm (No. 123); the cell edges are 6.0436, 6.0436 and 3.7713 Å and the angles 90.00°, 90.00° and 90.00°. The distinct sites, in fractional coordinates, are La at (0.0000, 0.0000, 0.0000), Ga at (0.5000, 0.5000, 0.5000), I at (0.0000, 0.5000, 0.5000) and O at (0.5000, 0.5000, 0.0000).

No. 8
A plane-wave DFT calculation with GGA-PBE was carried out for a relaxed structure of CuBrN2O.

The uncorrected formation energy is 2211 meV per atom.

The structure belongs to space group P4/mmm (No. 123); the cell edges are 3.9402, 3.9402 and 3.8783 Å and the angles 90.00°, 90.00° and 90.00°. The distinct sites, in fractional coordinates, are Cu at (0.0000, 0.0000, 0.0000), Br at (0.5000, 0.5000, 0.5000), N at (0.0000, 0.5000, 0.5000) and O at (0.5000, 0.5000, 0.0000).